Record 1
Entry from Alexandria: an optimized crystal structure of TmGa2Ag (PBE).

Output
space-group type = Fm-3m, No. 225
formation energy = -344 meV/atom
D(E_F) = 0.2878 states/eV/atom
V = 77.9 Å³ per cell

Cell lengths 4.794, 4.794, 4.794 Å; angles 60.00, 60.00, 60.00 degrees
Positions (direct):
Tm  0.000  0.000  0.000
Ga  0.250  0.250  0.250
Ga  0.750  0.750  0.750
Ag  0.500  0.500  0.500

Record 2
Entry from Alexandria: an optimized crystal structure of Tm7Ga2Ag2 (PBE).

Output
space-group type = Cmmm, No. 65
formation energy = -41 meV/atom
D(E_F) = 1.1071 states/eV/atom
V = 298.4 Å³ per cell

Cell lengths 6.560, 6.560, 7.358 Å; angles 90.00, 90.00, 109.51 degrees
Positions (direct):
Tm  0.000  0.000  0.000
Tm  0.000  0.500  0.283
Tm  0.000  0.500  0.717
Tm  0.500  0.000  0.283
Tm  0.500  0.000  0.717
Tm  0.500  0.500  0.269
Tm  0.500  0.500  0.731
Ga  0.170  0.170  0.500
Ga  0.830  0.830  0.500
Ag  0.294  0.706  0.000
Ag  0.706  0.294  0.000

Record 3
Entry from Alexandria: an optimized crystal structure of YTmGaAg (PBE).

Output
space-group type = F-43m, No. 216
formation energy = -476 meV/atom
D(E_F) = 0.6323 states/eV/atom
V = 92.8 Å³ per cell

Cell lengths 5.082, 5.082, 5.082 Å; angles 60.00, 60.00, 60.00 degrees
Positions (direct):
Y  0.000  0.000  0.000
Tm  0.500  0.500  0.500
Ga  0.250  0.250  0.250
Ag  0.750  0.750  0.750

Record 4
Entry from Alexandria: an optimized crystal structure of Tm2Zn3Ga4Ag (PBE).

Output
space-group type = P-4m2, No. 115
formation energy = -349 meV/atom
D(E_F) = 0.4043 states/eV/atom
V = 185.3 Å³ per cell

Cell lengths 4.143, 4.143, 10.795 Å; angles 90.00, 90.00, 90.00 degrees
Positions (direct):
Tm  0.000  0.500  0.244
Tm  0.500  0.000  0.756
Zn  0.000  0.500  0.863
Zn  0.500  0.000  0.137
Zn  0.500  0.500  0.500
Ga  0.000  0.000  0.000
Ga  0.000  0.500  0.643
Ga  0.500  0.000  0.357
Ga  0.500  0.500  0.000
Ag  0.000  0.000  0.500

Record 5
Entry from Alexandria: an optimized crystal structure of TmZrGaAg (PBE).

Output
space-group type = F-43m, No. 216
formation energy = -315 meV/atom
D(E_F) = 0.6272 states/eV/atom
V = 84.5 Å³ per cell

Cell lengths 4.927, 4.927, 4.927 Å; angles 60.00, 60.00, 60.00 degrees
Positions (direct):
Tm  0.000  0.000  0.000
Zr  0.500  0.500  0.500
Ga  0.750  0.750  0.750
Ag  0.250  0.250  0.250

Record 6
Entry from Alexandria: an optimized crystal structure of UGa2Ag2 (PBE).

Output
space-group type = Immm, No. 71
formation energy = -66 meV/atom
D(E_F) = 1.0945 states/eV/atom
V = 94.2 Å³ per cell

Cell lengths 7.588, 7.588, 7.588 Å; angles 158.00, 144.75, 41.94 degrees
Positions (direct):
U  0.000  0.000  0.000
Ga  0.394  0.394  0.000
Ga  0.606  0.606  0.000
Ag  0.211  0.711  0.500
Ag  0.789  0.289  0.500